No. 1
# TaNiBIr

An optimized crystal structure of TaNiBIr (GGA-PBE, the Open Quantum Materials Database).

Unit cell a=4.2037 b=4.2037 c=4.2037 alpha=60.00 beta=60.00 gamma=60.00
Last column: nearest neighbours and their distance in Å.
Fractional coordinates of all 4 atoms:
1 Ni 0.7500 0.7500 0.7500  4 B 2.57, 4 Ir 2.57
2 Ir 0.5000 0.5000 0.5000  4 Ni 2.57, 4 Ta 2.57
3 B 0.0000 0.0000 0.0000  4 Ni 2.57, 4 Ta 2.57
4 Ta 0.2500 0.2500 0.2500  4 Ir 2.57, 4 B 2.57

Computed properties:
ΔE to the lowest computed polymorph   31.57 kJ per mole of atoms
V   52.5 Å³/cell
Total magnetic moment   0.01 μB per formula unit



No. 2
# TaNiBIr

An optimized crystal structure of TaNiBIr (GGA-PBE, the Open Quantum Materials Database).

Unit cell a=4.1112 b=4.1112 c=4.1112 alpha=60.00 beta=60.00 gamma=60.00
Last column: nearest neighbours and their distance in Å.
Fractional coordinates of all 4 atoms:
1 Ta 0.2500 0.2500 0.2500  4 B 2.52, 4 Ni 2.52
2 Ir 0.7500 0.7500 0.7500  4 Ni 2.52, 4 B 2.52
3 B 0.0000 0.0000 0.0000  4 Ta 2.52, 4 Ir 2.52
4 Ni 0.5000 0.5000 0.5000  4 Ir 2.52, 4 Ta 2.52

Computed properties:
ΔE to the lowest computed polymorph   0.00 kJ per mole of atoms
V   49.1 Å³/cell
Total magnetic moment   0.01 μB per formula unit



No. 3
# Tm2NiB4Ir4

An optimized crystal structure of Tm2NiB4Ir4 (GGA-PBE, the Open Quantum Materials Database).

Unit cell a=7.3339 b=6.3083 c=5.3835 alpha=77.25 beta=57.03 gamma=45.72
Last column: nearest neighbours and their distance in Å.
Fractional coordinates of all 11 atoms:
1 Tm 0.3606 0.3606 0.6394  6 B 2.90-3.05, 8 Ir 2.97-3.12, 2 Ni 3.16, 1 Tm 3.17
2 Ni 0.0000 0.0000 0.0000  4 B 2.02
3 Ir 0.7500 0.7500 0.7500  4 B 2.14
4 B 0.0103 0.7222 0.2778  1 Ni 2.02, 2 Ir 2.14
5 Ir 0.2500 0.2500 0.2500  4 B 2.14
6 B 0.7222 0.0103 0.9897  1 Ni 2.02, 2 Ir 2.14
7 B 0.2778 0.9897 0.0103  1 Ni 2.02, 2 Ir 2.14
8 Tm 0.6394 0.6394 0.3606  6 B 2.90-3.05, 8 Ir 2.97-3.12, 2 Ni 3.16, 1 Tm 3.17
9 Ir 0.0000 0.0000 0.5000  4 B 2.27
10 B 0.9897 0.2778 0.7222  1 Ni 2.02, 2 Ir 2.14
11 Ir 0.5000 0.5000 0.0000  4 B 2.27

Computed properties:
Total DFT energy (no corrections)   -7.653 eV/atom
V   144.2 Å³/cell
Total magnetic moment   0.00 μB per formula unit



No. 4
# ZnNiBIr

An optimized crystal structure of ZnNiBIr (GGA-PBE, the Open Quantum Materials Database).

Unit cell a=4.0090 b=4.0090 c=4.0090 alpha=60.00 beta=60.00 gamma=60.00
Last column: nearest neighbours and their distance in Å.
Fractional coordinates of all 4 atoms:
1 B 0.0000 0.0000 0.0000  4 Zn 2.45-2.46, 4 Ir 2.46
2 Zn 0.7500 0.7500 0.7500  4 B 2.45-2.46, 4 Ni 2.46
3 Ni 0.5000 0.5000 0.5000  4 Ir 2.45-2.46, 4 Zn 2.46
4 Ir 0.2500 0.2500 0.2500  4 Ni 2.45-2.46, 4 B 2.46

Computed properties:
Total DFT energy (no corrections)   -5.289 eV/atom
V   45.6 Å³/cell
Total magnetic moment   0.00 μB per formula unit



No. 5
# ZrNiBIr

An optimized crystal structure of ZrNiBIr (GGA-PBE, the Open Quantum Materials Database).

Unit cell a=4.2054 b=4.2054 c=4.2054 alpha=60.00 beta=60.00 gamma=60.00
Last column: nearest neighbours and their distance in Å.
Fractional coordinates of all 4 atoms:
1 Ni 0.5000 0.5000 0.5000  4 Zr 2.58, 4 Ir 2.58
2 Ir 0.2500 0.2500 0.2500  4 Ni 2.58, 4 B 2.58
3 Zr 0.7500 0.7500 0.7500  4 B 2.58, 4 Ni 2.58
4 B 0.0000 0.0000 0.0000  4 Zr 2.58, 4 Ir 2.58

Computed properties:
Total DFT energy (no corrections)   -7.524 eV/atom
V   52.6 Å³/cell
Total magnetic moment   0.13 μB per formula unit



No. 6
# NpBIr

An optimized crystal structure of NpBIr (GGA-PBE, the Open Quantum Materials Database).

Unit cell a=4.2571 b=4.2571 c=4.2571 alpha=60.00 beta=60.00 gamma=60.00
Last column: nearest neighbours and their distance in Å.
Fractional coordinates of all 3 atoms:
1 Ir 0.0000 0.0000 0.0000  4 B 2.61, 4 Np 2.61
2 Np 0.2500 0.2500 0.2500  4 Ir 2.61
3 B 0.7500 0.7500 0.7500  4 Ir 2.61

Computed properties:
ΔE to the lowest computed polymorph   44.48 kJ per mole of atoms
V   54.6 Å³/cell
Total magnetic moment   3.41 μB per formula unit



No. 7
# NpBIr

An optimized crystal structure of NpBIr (GGA-PBE, the Open Quantum Materials Database).

Unit cell a=4.0806 b=4.0806 c=4.0806 alpha=60.00 beta=60.00 gamma=60.00
Last column: nearest neighbours and their distance in Å.
Fractional coordinates of all 3 atoms:
1 Ir 0.2500 0.2500 0.2500  4 B 2.50
2 B 0.0000 0.0000 0.0000  4 Np 2.50, 4 Ir 2.50
3 Np 0.7500 0.7500 0.7500  4 B 2.50

Computed properties:
ΔE to the lowest computed polymorph   0.00 kJ per mole of atoms
V   48.0 Å³/cell
Total magnetic moment   2.03 μB per formula unit



No. 8
# NpBIr

An optimized crystal structure of NpBIr (GGA-PBE, the Open Quantum Materials Database).

Unit cell a=4.2839 b=4.2839 c=4.2839 alpha=60.00 beta=60.00 gamma=60.00
Last column: nearest neighbours and their distance in Å.
Fractional coordinates of all 3 atoms:
1 Ir 0.7500 0.7500 0.7500  4 Np 2.62
2 B 0.2500 0.2500 0.2500  4 Np 2.62
3 Np 0.0000 0.0000 0.0000  4 Ir 2.62, 4 B 2.62

Computed properties:
ΔE to the lowest computed polymorph   79.20 kJ per mole of atoms
V   55.6 Å³/cell
Total magnetic moment   2.90 μB per formula unit



No. 9
# BIr2O4

An optimized crystal structure of BIr2O4 (GGA-PBE, the Open Quantum Materials Database).

Unit cell a=5.7373 b=5.7373 c=5.7373 alpha=119.97 beta=90.06 gamma=119.97
Last column: nearest neighbours and their distance in Å.
Fractional coordinates of all 14 atoms:
1 O 0.6428 0.2858 0.9286  1 B 1.51
2 O 0.6428 0.7142 0.3570  1 B 1.51
3 Ir 0.3750 0.7500 0.1250  6 O 2.18
4 Ir 0.3750 0.7500 0.6250  6 O 2.18
5 O 0.1070 0.2142 0.8928  1 B 1.51
6 O 0.1072 0.7858 0.8930  1 B 1.51
7 Ir 0.8750 0.2500 0.6250  6 O 2.18
8 Ir 0.3750 0.2500 0.6250  6 O 2.18
9 O 0.0714 0.7142 0.3572  1 B 1.51
10 O 0.6786 0.7858 0.8928  1 B 1.51
11 O 0.1072 0.2142 0.3214  1 B 1.51
12 B 0.7500 0.5000 0.2500  4 O 1.51
13 O 0.6430 0.2858 0.3572  1 B 1.51
14 B 0.0000 0.0000 0.0000  4 O 1.51

Computed properties:
Total DFT energy (no corrections)   -6.736 eV/atom
V   133.6 Å³/cell
Total magnetic moment   2.16 μB per formula unit



No. 10
# PrSmB2Ir2O2

An optimized crystal structure of PrSmB2Ir2O2 (GGA-PBE, the Open Quantum Materials Database).

Unit cell a=3.8517 b=3.8517 c=7.4802 alpha=90.00 beta=90.00 gamma=90.00
Last column: nearest neighbours and their distance in Å.
Fractional coordinates of all 8 atoms:
1 Ir 0.0000 0.5000 0.5021  4 B 2.21-2.22
2 B 0.5000 0.5000 0.3535  1 O 1.54
3 Pr 0.0000 0.0000 0.1814  5 O 2.48-2.73
4 O 0.5000 0.5000 0.1480  1 B 1.54
5 B 0.0000 0.0000 0.6474  1 O 1.52
6 Sm 0.5000 0.5000 0.8154  5 O 2.49-2.74
7 Ir 0.5000 0.0000 0.5021  4 B 2.21-2.22
8 O 0.0000 0.0000 0.8501  1 B 1.52

Computed properties:
Total DFT energy (no corrections)   -7.927 eV/atom
V   111.0 Å³/cell
Total magnetic moment   0.00 μB per formula unit



No. 11
# SmYB2Ir2O2

An optimized crystal structure of SmYB2Ir2O2 (GGA-PBE, the Open Quantum Materials Database).

Unit cell a=3.8308 b=3.8308 c=7.3191 alpha=90.00 beta=90.00 gamma=90.00
Last column: nearest neighbours and their distance in Å.
Fractional coordinates of all 8 atoms:
1 Sm 0.0000 0.0000 0.1836  1 O 2.37
2 Ir 0.5000 0.0000 0.5020  4 B 2.21-2.22
3 O 0.0000 0.0000 0.8594  1 B 1.52
4 B 0.5000 0.5000 0.3486  1 O 1.54
5 B 0.0000 0.0000 0.6521  1 O 1.52
6 Ir 0.0000 0.5000 0.5020  4 B 2.21-2.22
7 O 0.5000 0.5000 0.1379  1 B 1.54
8 Y 0.5000 0.5000 0.8145  1 O 2.37

Computed properties:
Total DFT energy (no corrections)   -8.149 eV/atom
V   107.4 Å³/cell
Total magnetic moment   0.02 μB per formula unit



No. 12
# SnB2IrO6

An optimized crystal structure of SnB2IrO6 (GGA-PBE, the Open Quantum Materials Database).

Unit cell a=5.8479 b=5.8479 c=5.8479 alpha=48.97 beta=48.97 gamma=48.97
Last column: nearest neighbours and their distance in Å.
Fractional coordinates of all 10 atoms:
1 O 0.5134 0.9468 0.2701  1 B 1.38
2 B 0.2404 0.2404 0.2404  3 O 1.38
3 Ir 0.5000 0.5000 0.5000  6 O 2.04
4 O 0.7299 0.4866 0.0532  1 B 1.38
5 B 0.7596 0.7596 0.7596  3 O 1.38
6 O 0.0532 0.7299 0.4866  1 B 1.38
7 O 0.2701 0.5134 0.9468  1 B 1.38
8 O 0.9468 0.2701 0.5134  1 B 1.38
9 O 0.4866 0.0532 0.7299  1 B 1.38
10 Sn 0.0000 0.0000 0.0000  6 O 2.30

Computed properties:
Total DFT energy (no corrections)   -7.174 eV/atom
V   104.5 Å³/cell
Total magnetic moment   0.00 μB per formula unit



No. 13
# TbYB2Ir2O2

An optimized crystal structure of TbYB2Ir2O2 (GGA-PBE, the Open Quantum Materials Database).

Unit cell a=3.8233 b=3.8233 c=7.2539 alpha=90.00 beta=90.00 gamma=90.00
Last column: nearest neighbours and their distance in Å.
Fractional coordinates of all 8 atoms:
1 B 0.5000 0.5000 0.3462  1 O 1.53
2 Ir 0.5000 0.0000 0.5001  4 B 2.21
3 O 0.0000 0.0000 0.8640  1 B 1.53
4 Y 0.5000 0.5000 0.8151  1 O 2.32
5 Ir 0.0000 0.5000 0.5001  4 B 2.21
6 B 0.0000 0.0000 0.6538  1 O 1.53
7 Tb 0.0000 0.0000 0.1854  1 O 2.33
8 O 0.5000 0.5000 0.1353  1 B 1.53

Computed properties:
Total DFT energy (no corrections)   -8.147 eV/atom
V   106.0 Å³/cell
Total magnetic moment   0.00 μB per formula unit



No. 14
# BIr2Os

An optimized crystal structure of BIr2Os (GGA-PBE, the Open Quantum Materials Database).

Unit cell a=4.2113 b=4.2113 c=4.2113 alpha=60.00 beta=60.00 gamma=60.00
Last column: nearest neighbours and their distance in Å.
Fractional coordinates of all 4 atoms:
1 Os 0.2500 0.2500 0.2500  4 Ir 2.58, 4 B 2.58
2 Ir 0.7500 0.7500 0.7500  4 B 2.58, 4 Ir 2.58
3 B 0.5000 0.5000 0.5000  4 Ir 2.58, 4 Os 2.58
4 Ir 0.0000 0.0000 0.0000  4 Os 2.58, 4 Ir 2.58

Computed properties:
Total DFT energy (no corrections)   -8.077 eV/atom
V   52.8 Å³/cell
Total magnetic moment   0.01 μB per formula unit



No. 15
# B2IrOs2

An optimized crystal structure of B2IrOs2 (GGA-PBE, the Open Quantum Materials Database).

Unit cell a=3.8459 b=3.8459 c=4.8135 alpha=113.55 beta=113.55 gamma=90.00
Last column: nearest neighbours and their distance in Å.
Fractional coordinates of all 5 atoms:
1 Ir 0.0000 0.0000 0.0000  8 Os 2.76, 10 B 2.86-3.09
2 B 0.3892 0.3892 0.7784  1 B 1.76
3 Os 0.7500 0.2500 0.5000  4 B 2.22
4 Os 0.2500 0.7500 0.5000  4 B 2.22
5 B 0.6108 0.6108 0.2216  1 B 1.76

Computed properties:
Total DFT energy (no corrections)   -8.563 eV/atom
V   58.7 Å³/cell
Total magnetic moment   0.00 μB per formula unit



No. 16
# SmYB2P2Ir2

An optimized crystal structure of SmYB2P2Ir2 (GGA-PBE, the Open Quantum Materials Database).

Unit cell a=3.9627 b=3.9627 c=8.3689 alpha=90.00 beta=90.00 gamma=90.00
Last column: nearest neighbours and their distance in Å.
Fractional coordinates of all 8 atoms:
1 Ir 0.0000 0.5000 0.5008  4 B 2.19-2.20
2 Y 0.5000 0.5000 0.8081  5 P 2.82-2.83
3 Sm 0.0000 0.0000 0.1961  5 P 2.83-2.90
4 Ir 0.5000 0.0000 0.5008  4 B 2.19-2.20
5 P 0.5000 0.5000 0.1468  1 B 2.01
6 P 0.0000 0.0000 0.8490  1 B 1.99
7 B 0.0000 0.0000 0.6113  1 P 1.99, 4 Ir 2.19
8 B 0.5000 0.5000 0.3870  1 P 2.01, 4 Ir 2.20

Computed properties:
Total DFT energy (no corrections)   -7.582 eV/atom
V   131.4 Å³/cell
Total magnetic moment   0.00 μB per formula unit



No. 17
# PaBIr

An optimized crystal structure of PaBIr (GGA-PBE, the Open Quantum Materials Database).

Unit cell a=4.3573 b=4.3573 c=4.3573 alpha=60.00 beta=60.00 gamma=60.00
Last column: nearest neighbours and their distance in Å.
Fractional coordinates of all 3 atoms:
1 B 0.7500 0.7500 0.7500  4 Ir 2.67
2 Pa 0.2500 0.2500 0.2500  4 Ir 2.67
3 Ir 0.0000 0.0000 0.0000  4 B 2.67, 4 Pa 2.67

Computed properties:
ΔE to the lowest computed polymorph   40.77 kJ per mole of atoms
V   58.5 Å³/cell
Total magnetic moment   0.01 μB per formula unit



No. 18
# PaBIr

An optimized crystal structure of PaBIr (GGA-PBE, the Open Quantum Materials Database).

Unit cell a=4.4156 b=4.4156 c=4.4156 alpha=60.00 beta=60.00 gamma=60.00
Last column: nearest neighbours and their distance in Å.
Fractional coordinates of all 3 atoms:
1 Pa 0.2500 0.2500 0.2500  4 Ir 2.70, 4 B 2.70
2 B 0.5000 0.5000 0.5000  4 Pa 2.70
3 Ir 0.0000 0.0000 0.0000  4 Pa 2.70

Computed properties:
ΔE to the lowest computed polymorph   75.95 kJ per mole of atoms
V   60.9 Å³/cell
Total magnetic moment   0.00 μB per formula unit



No. 19
# PaBIr

An optimized crystal structure of PaBIr (GGA-PBE, the Open Quantum Materials Database).

Unit cell a=4.1658 b=4.1658 c=4.1658 alpha=60.00 beta=60.00 gamma=60.00
Last column: nearest neighbours and their distance in Å.
Fractional coordinates of all 3 atoms:
1 Pa 0.7500 0.7500 0.7500  4 B 2.55
2 B 0.0000 0.0000 0.0000  4 Ir 2.55, 4 Pa 2.55
3 Ir 0.2500 0.2500 0.2500  4 B 2.55

Computed properties:
ΔE to the lowest computed polymorph   0.00 kJ per mole of atoms
V   51.1 Å³/cell
Total magnetic moment   0.54 μB per formula unit



No. 20
# BIrPb

An optimized crystal structure of BIrPb (GGA-PBE, the Open Quantum Materials Database).

Unit cell a=4.1092 b=4.1092 c=4.1092 alpha=60.00 beta=60.00 gamma=60.00
Last column: nearest neighbours and their distance in Å.
Fractional coordinates of all 3 atoms:
1 B 0.0000 0.0000 0.0000  4 Pb 2.52, 4 Ir 2.52
2 Pb 0.7500 0.7500 0.7500  4 B 2.52
3 Ir 0.2500 0.2500 0.2500  4 B 2.52

Computed properties:
ΔE to the lowest computed polymorph   0.00 kJ per mole of atoms
V   49.1 Å³/cell
Total magnetic moment   0.02 μB per formula unit